Entry 1:
DFT (GGA-PBE) results for a geometry-optimized AlIn2GaNi structure.

Computed properties:
Energy (eV per formula unit): -17.7
Formation energy from the elements (eV/atom): 0.06

```
data_AlIn2GaNi
_chemical_formula_sum 'Al1 In2 Ga1 Ni1'
_cell_length_a 4.9080
_cell_length_b 4.9080
_cell_length_c 4.5441
_cell_angle_alpha 90.00
_cell_angle_beta 90.00
_cell_angle_gamma 90.00
_symmetry_space_group_name_H-M 'P 4/m m m'
_symmetry_Int_Tables_number 123
_symmetry_space_group_name_Hall '-P 4 2'
loop_
_atom_site_label
_atom_site_fract_x
_atom_site_fract_y
_atom_site_fract_z
Al1 0.0000 0.0000 0.0000
In1 0.0000 0.5000 0.5000
Ga1 0.5000 0.5000 0.0000
Ni1 0.0000 0.0000 0.5000
```

Entry 2:
DFT (GGA-PBE) results for a geometry-optimized AlInGaO4 structure.

Computed properties:
Energy relative to the elements, uncorrected (eV/f.u.): -13.30
Energy (eV per formula unit): -42.6

```
data_AlInGaO4
_chemical_formula_sum 'Al4 In4 Ga4 O16'
_cell_length_a 6.4070
_cell_length_b 9.3310
_cell_length_c 6.1877
_cell_angle_alpha 90.00
_cell_angle_beta 90.00
_cell_angle_gamma 90.00
_symmetry_space_group_name_H-M 'C m c m'
_symmetry_Int_Tables_number 63
_symmetry_space_group_name_Hall '-C 2c 2'
loop_
_atom_site_label
_atom_site_fract_x
_atom_site_fract_y
_atom_site_fract_z
Al1 0.0000 0.1427 0.2500
In1 0.0000 0.5000 0.0000
Ga1 0.0000 0.1466 0.7500
O1 0.0000 0.2468 0.0092
O2 0.2055 0.0063 0.2500
```

Entry 3:
DFT (GGA-PBE) results for a geometry-optimized AlInGa2O6 structure.

Computed properties:
Energy relative to the elements, uncorrected (eV/f.u.): -20.43
Energy (eV per formula unit): -62.7

```
data_AlInGa2O6
_chemical_formula_sum 'Al4 In4 Ga8 O24'
_cell_length_a 9.5398
_cell_length_b 9.1123
_cell_length_c 5.3097
_cell_angle_alpha 90.00
_cell_angle_beta 98.22
_cell_angle_gamma 90.00
_symmetry_space_group_name_H-M 'C 1 2/c 1'
_symmetry_Int_Tables_number 15
loop_
_symmetry_equiv_pos_as_xyz
'x,y,z'
'-x,-y,-z'
'-x,y,-z+1/2'
'x,-y,z+1/2'
'x+1/2,y+1/2,z'
'-x+1/2,-y+1/2,-z'
'-x+1/2,y+1/2,-z+1/2'
'x+1/2,-y+1/2,z+1/2'
loop_
_atom_site_label
_atom_site_fract_x
_atom_site_fract_y
_atom_site_fract_z
Al1 0.0000 0.2219 0.2500
In1 0.0000 0.4057 0.7500
Ga1 0.1834 0.0923 0.7953
O1 0.1050 0.2359 0.5762
O2 0.1162 0.3975 0.1401
O3 0.1316 0.0866 0.1272
```

Entry 4:
DFT (GGA-PBE) results for a geometry-optimized Al2InGaO6 structure.

Computed properties:
Energy relative to the elements, uncorrected (eV/f.u.): -22.87
Energy (eV per formula unit): -65.9

```
data_Al2InGaO6
_chemical_formula_sum 'Al8 In4 Ga4 O24'
_cell_length_a 8.9222
_cell_length_b 10.2724
_cell_length_c 5.8156
_cell_angle_alpha 90.00
_cell_angle_beta 115.25
_cell_angle_gamma 90.00
_symmetry_space_group_name_H-M 'C 1 2/c 1'
_symmetry_Int_Tables_number 15
loop_
_symmetry_equiv_pos_as_xyz
'x,y,z'
'-x,-y,-z'
'-x,y,-z+1/2'
'x,-y,z+1/2'
'x+1/2,y+1/2,z'
'-x+1/2,-y+1/2,-z'
'-x+1/2,y+1/2,-z+1/2'
'x+1/2,-y+1/2,z+1/2'
loop_
_atom_site_label
_atom_site_fract_x
_atom_site_fract_y
_atom_site_fract_z
Al1 0.1327 0.0762 0.1803
In1 0.0000 0.3959 0.2500
Ga1 0.0000 0.3022 0.7500
O1 0.1078 0.2470 0.0829
O2 0.1162 0.0552 0.4716
O3 0.1308 0.4265 0.6706
```